# TbCN2

A geometry-optimized TbCN2 structure (GGA-PBE, the Alexandria database).

Summary:
Space-group type   No. 62
N(E_F)   0.329 states/eV per atom
Formation energy without anion corrections   -668 meV/atom

a = 3.612 Å, b = 5.074 Å, c = 11.736 Å
α = 90.00°, β = 90.00°, γ = 90.00°
Sites, in units of the cell vectors:
Tb  0.750  0.065  0.860
C  0.750  0.384  0.132
C  0.750  0.116  0.632
N  0.750  0.627  0.161
C  0.250  0.884  0.368
Tb  0.250  0.565  0.640
N  0.750  0.873  0.661
Tb  0.750  0.435  0.360
N  0.750  0.294  0.555
N  0.250  0.127  0.339
N  0.250  0.706  0.445
N  0.750  0.206  0.055
N  0.250  0.373  0.839
Tb  0.250  0.935  0.140
N  0.250  0.794  0.945
C  0.250  0.616  0.868